Computed, not measured: a relaxed CrOsN2O crystal at the PBE+U level of DFT.

Geometry as CIF:
```
data_CrOsN2O
_chemical_formula_sum 'Cr1 Os1 N2 O1'
_space_group_name_H-M_alt 'P 1'
_space_group_IT_number 1
_cell_length_a 3.8564
_cell_length_b 3.8564
_cell_length_c 3.9210
_cell_angle_alpha 90.00
_cell_angle_beta 90.00
_cell_angle_gamma 90.00
loop_
_space_group_symop_operation_xyz
'x,y,z'
loop_
_atom_site_label
_atom_site_type_symbol
_atom_site_fract_x
_atom_site_fract_y
_atom_site_fract_z
Cr1 Cr 0.5000 0.5000 0.5000
Os1 Os 0.0000 0.0000 0.0000
O1 O 0.0000 0.0000 0.5000
N1 N 0.0000 0.5000 0.0000
N2 N 0.5000 0.0000 0.0000
```

Values from the calculation:
Calculated total energy = -7.714 eV/atom
Calculated volume = 11.66 Å³/atom